A relaxed Sr3Al5F12 crystal. Source: Alexandria, functional GGA-PBE.

Output
E ... -4.99 eV/atom
Space-group type ... Ia-3d

```
data_Sr3Al5F12
_cell_length_a 12.221
_cell_length_b 12.221
_cell_length_c 12.221
_cell_angle_alpha 109.47
_cell_angle_beta 109.47
_cell_angle_gamma 109.47
_symmetry_space_group_name_H-M 'P 1'
_symmetry_Int_Tables_number 1
loop_
_symmetry_equiv_pos_as_xyz
'x,y,z'
loop_
_atom_site_label
_atom_site_type_symbol
_atom_site_fract_x
_atom_site_fract_y
_atom_site_fract_z
Sr1 Sr 0.750 0.375 0.125
Sr2 Sr 0.875 0.750 0.125
Sr3 Sr 0.375 0.750 0.625
Sr4 Sr 0.250 0.125 0.375
Sr5 Sr 0.875 0.125 0.250
Sr6 Sr 0.375 0.625 0.250
Sr7 Sr 0.625 0.375 0.750
Sr8 Sr 0.125 0.875 0.750
Sr9 Sr 0.750 0.875 0.625
Sr10 Sr 0.625 0.250 0.375
Sr11 Sr 0.125 0.250 0.875
Sr12 Sr 0.250 0.625 0.875
Al1 Al 0.125 0.375 0.250
Al2 Al 0.000 0.500 0.000
Al3 Al 0.000 0.000 0.000
Al4 Al 0.375 0.250 0.125
Al5 Al 0.500 0.000 0.500
Al6 Al 0.500 0.500 0.000
Al7 Al 0.125 0.750 0.375
Al8 Al 0.750 0.125 0.875
Al9 Al 0.750 0.625 0.375
Al10 Al 0.375 0.125 0.750
Al11 Al 0.625 0.875 0.250
Al12 Al 0.500 0.500 0.500
Al13 Al 0.500 0.000 0.000
Al14 Al 0.000 0.000 0.500
Al15 Al 0.250 0.375 0.625
Al16 Al 0.250 0.875 0.125
Al17 Al 0.000 0.500 0.500
Al18 Al 0.875 0.250 0.625
Al19 Al 0.625 0.750 0.875
Al20 Al 0.875 0.625 0.750
F1 F 0.675 0.053 0.045
F2 F 0.369 0.545 0.492
F3 F 0.955 0.447 0.325
F4 F 0.545 0.175 0.053
F5 F 0.622 0.675 0.631
F6 F 0.955 0.508 0.131
F7 F 0.369 0.825 0.378
F8 F 0.008 0.878 0.053
F9 F 0.508 0.955 0.631
F10 F 0.675 0.622 0.131
F11 F 0.825 0.455 0.447
F12 F 0.869 0.992 0.045
F13 F 0.053 0.675 0.545
F14 F 0.447 0.492 0.122
F15 F 0.122 0.992 0.447
F16 F 0.378 0.053 0.508
F17 F 0.122 0.131 0.175
F18 F 0.455 0.631 0.008
F19 F 0.869 0.878 0.325
F20 F 0.053 0.378 0.008
F21 F 0.447 0.955 0.825
F22 F 0.508 0.553 0.378
F23 F 0.992 0.869 0.545
F24 F 0.825 0.369 0.878
F25 F 0.492 0.447 0.622
F26 F 0.008 0.131 0.455
F27 F 0.175 0.631 0.122
F28 F 0.131 0.122 0.675
F29 F 0.553 0.045 0.175
F30 F 0.947 0.622 0.992
F31 F 0.545 0.369 0.992
F32 F 0.622 0.947 0.492
F33 F 0.878 0.869 0.825
F34 F 0.878 0.008 0.553
F35 F 0.947 0.325 0.455
F36 F 0.131 0.008 0.955
F37 F 0.553 0.508 0.878
F38 F 0.492 0.045 0.369
F39 F 0.325 0.378 0.869
F40 F 0.175 0.545 0.553
F41 F 0.992 0.122 0.947
F42 F 0.631 0.175 0.622
F43 F 0.455 0.825 0.947
F44 F 0.045 0.492 0.869
F45 F 0.378 0.325 0.369
F46 F 0.045 0.553 0.675
F47 F 0.631 0.455 0.508
F48 F 0.325 0.947 0.955
```

A relaxed LuH crystal. Source: Alexandria, functional GGA-PBE.

Output
E ... -4.27 eV/atom
Space-group type ... P4/nmm

```
data_LuH
_cell_length_a 3.259
_cell_length_b 3.259
_cell_length_c 5.416
_cell_angle_alpha 90.00
_cell_angle_beta 90.00
_cell_angle_gamma 89.96
_symmetry_space_group_name_H-M 'P 1'
_symmetry_Int_Tables_number 1
loop_
_symmetry_equiv_pos_as_xyz
'x,y,z'
loop_
_atom_site_label
_atom_site_type_symbol
_atom_site_fract_x
_atom_site_fract_y
_atom_site_fract_z
H1 H 0.250 0.250 0.161
H2 H 0.750 0.750 0.839
Lu1 Lu 0.250 0.250 0.755
Lu2 Lu 0.750 0.750 0.245
```